Compound: TlIn2Pb
Source: the Alexandria database
Functional: PBE-GGA
Structure: optimized geometry

Properties
Formation enthalpy at 0 K ... 31 meV/atom
E above lowest polymorph ... 3.37 kJ per mole of atoms
Mass density ... 9.10 g/cm3

Lattice parameters (Å, degrees): 3.717 5.638 11.169 90.00 90.00 90.00
Space group Imm2 (No. 44)
Symmetry-distinct sites (fractional):
Tl 0.000 0.000 0.000 x2
In 0.000 0.000 0.485 x2
In 0.000 0.500 0.751 x2
Pb 0.000 0.500 0.235 x2

---

Compound: Tl16In7Pb6
Source: the Alexandria database
Functional: PBE-GGA
Structure: optimized geometry

Properties
Formation enthalpy at 0 K ... 66 meV/atom
Mass density ... 9.60 g/cm3

Lattice parameters (Å, degrees): 15.439 15.439 15.439 90.00 90.00 90.00
Space group Fm-3m (No. 225)
Symmetry-distinct sites (fractional):
Tl 0.120 0.120 0.120 x32
Tl 0.157 0.157 0.343 x32
In 0.000 0.000 0.000 x4
In 0.000 0.250 0.250 x24
Pb 0.000 0.000 0.339 x24

---

Compound: Tl4In2Pb5
Source: the Alexandria database
Functional: PBE-GGA
Structure: optimized geometry

Properties
Formation enthalpy at 0 K ... 51 meV/atom
Mass density ... 9.72 g/cm3

Lattice parameters (Å, degrees): 25.556 3.562 8.007 90.00 102.56 90.00
Space group C2/m (No. 12)
Symmetry-distinct sites (fractional):
Tl 0.040 0.000 0.195 x4
Tl 0.130 0.500 0.015 x4
In 0.234 0.000 0.834 x4
Pb 0.000 0.500 0.500 x2
Pb 0.111 0.000 0.649 x4
Pb 0.195 0.000 0.392 x4